Record 1
Computed, not measured: BaLa2Cd at its PBEsol-relaxed geometry at the meta-GGA SCAN level of DFT.

Calculated values
total moment	0.000	μB/atom
final energy	-156.256	eV for the cell shown
density of states at the Fermi level	1.187	states/eV/atom

Cell lengths 5.099, 5.099, 5.132 Å; angles 90.00, 90.00, 90.00 degrees
Space group P4/mmm (No. 123)
One atom of each set of equivalent atoms:
Ba 0.000 0.000 0.000 x1
La 0.000 0.500 0.500 x2
Cd 0.500 0.500 0.000 x1


Record 2
Computed, not measured: K2Nb3Cl9 at its PBEsol-relaxed geometry at the meta-GGA SCAN level of DFT.

Calculated values
total moment	0.000	μB/atom
final energy	-844.982	eV for the cell shown
uncorrected formation energy	-1.67	eV/atom

Cell lengths 10.022, 16.570, 9.517 Å; angles 90.00, 115.08, 90.00 degrees
Space group C2/m (No. 12)
One atom of each set of equivalent atoms:
K 0.107 0.161 0.324 x8
Nb 0.123 0.500 0.871 x4
Nb 0.135 0.412 0.143 x8
Cl 0.000 0.292 0.000 x4
Cl 0.015 0.396 0.318 x8
Cl 0.179 0.000 0.664 x4
Cl 0.194 0.198 0.674 x8
Cl 0.197 0.105 0.983 x8
Cl 0.225 0.000 0.286 x4


Record 3
Computed, not measured: AlSn2N at its PBEsol-relaxed geometry at the meta-GGA SCAN level of DFT.

Calculated values
total moment	0.000	μB/atom
final energy	-349.528	eV for the cell shown
uncorrected formation energy	0.38	eV/atom
density of states at the Fermi level	0.160	states/eV/atom

Cell lengths 5.709, 5.709, 10.677 Å; angles 90.00, 90.00, 90.00 degrees
Space group I-42d (No. 122)
One atom of each set of equivalent atoms:
Al 0.000 0.000 0.000 x4
Sn 0.183 0.250 0.625 x8
N 0.000 0.000 0.500 x4


Record 4
Computed, not measured: CdGa2BiCl at its PBEsol-relaxed geometry at the meta-GGA SCAN level of DFT.

Calculated values
total moment	0.000	μB/atom
final energy	-148.235	eV for the cell shown
uncorrected formation energy	0.29	eV/atom
density of states at the Fermi level	0.444	states/eV/atom

Cell lengths 5.684, 5.684, 5.763 Å; angles 90.00, 90.00, 90.00 degrees
Space group P4/mmm (No. 123)
One atom of each set of equivalent atoms:
Cd 0.000 0.000 0.000 x1
Ga 0.000 0.500 0.500 x2
Bi 0.000 0.000 0.500 x1
Cl 0.500 0.500 0.000 x1


Record 5
Computed, not measured: Ba5P5I3 at its PBEsol-relaxed geometry at the meta-GGA SCAN level of DFT.

Calculated values
total moment	0.000	μB/atom
final energy	-1513.918	eV for the cell shown
uncorrected formation energy	-1.42	eV/atom
density of states at the Fermi level	0.140	states/eV/atom

Cell lengths 42.385, 4.518, 9.364 Å; angles 90.00, 92.51, 90.00 degrees
Space group C2/m (No. 12)
One atom of each set of equivalent atoms:
Ba 0.041 0.000 0.350 x4
Ba 0.059 0.000 0.795 x4
Ba 0.139 0.500 0.585 x4
Ba 0.158 0.500 0.051 x4
Ba 0.240 0.500 0.775 x4
P 0.015 0.500 0.605 x4
P 0.064 0.500 0.559 x4
P 0.130 0.000 0.828 x4
P 0.180 0.000 0.782 x4
P 0.210 0.000 0.975 x4
I 0.051 0.500 0.070 x4
I 0.124 0.000 0.298 x4
I 0.210 0.500 0.395 x4


Record 6
Computed, not measured: CdHg4 at its PBEsol-relaxed geometry at the meta-GGA SCAN level of DFT.

Calculated values
total moment	0.000	μB/atom
final energy	-2422.066	eV for the cell shown
density of states at the Fermi level	0.444	states/eV/atom

Cell lengths 9.974, 9.974, 9.974 Å; angles 90.00, 90.00, 90.00 degrees
Space group I-43m (No. 217)
One atom of each set of equivalent atoms:
Cd 0.159 0.159 0.841 x8
Hg 0.000 0.000 0.336 x12
Hg 0.000 0.250 0.500 x12
Hg 0.180 0.180 0.180 x8


Record 7
Computed, not measured: Si2AgPt2 at its PBEsol-relaxed geometry at the meta-GGA SCAN level of DFT.

Calculated values
total moment	0.000	μB/atom
final energy	-387.906	eV for the cell shown
uncorrected formation energy	-0.43	eV/atom
density of states at the Fermi level	0.303	states/eV/atom

Cell lengths 4.045, 4.045, 9.795 Å; angles 90.00, 90.00, 90.00 degrees
Space group I4/mmm (No. 139)
One atom of each set of equivalent atoms:
Si 0.000 0.000 0.115 x4
Ag 0.000 0.000 0.500 x2
Pt 0.000 0.500 0.250 x4


Record 8
Computed, not measured: Sm2Ga2Fe15C3 at its PBEsol-relaxed geometry at the meta-GGA SCAN level of DFT.

Calculated values
total moment	1.507	μB/atom
final energy	-1279.174	eV for the cell shown
density of states at the Fermi level	0.494	states/eV/atom

Cell lengths 8.5790, 8.5790, 12.3677 Å; angles 90.00, 90.00, 120.00 degrees
Space group R-3m (No. 166, hexagonal axes)
One atom of each set of equivalent atoms:
Sm 0.0000 0.0000 0.1499 x6
Ga 0.0000 0.0000 0.3966 x6
Fe 0.0000 0.2836 0.5000 x18
Fe 0.0000 0.5000 0.0000 x9
Fe 0.0061 0.5031 0.3475 x18
C 0.0000 0.5000 0.5000 x9


Record 9
Computed, not measured: Zr3RePd at its PBEsol-relaxed geometry at the meta-GGA SCAN level of DFT.

Calculated values
total moment	0.000	μB/atom
final energy	-191.178	eV for the cell shown
density of states at the Fermi level	1.172	states/eV/atom

Cell lengths 4.861, 4.861, 4.861 Å; angles 90.00, 90.00, 90.00 degrees
Space group Pm-3m (No. 221)
One atom of each set of equivalent atoms:
Zr 0.000 0.000 0.500 x3
Re 0.500 0.500 0.500 x1
Pd 0.000 0.000 0.000 x1


Record 10
Computed, not measured: CuW2 at its PBEsol-relaxed geometry at the meta-GGA SCAN level of DFT.

Calculated values
total moment	0.000	μB/atom
final energy	-306.705	eV for the cell shown
density of states at the Fermi level	1.299	states/eV/atom

Cell lengths 3.240, 3.240, 8.293 Å; angles 90.00, 90.00, 90.00 degrees
Space group I4/mmm (No. 139)
One atom of each set of equivalent atoms:
Cu 0.000 0.000 0.000 x2
W 0.000 0.000 0.332 x4


Record 11
Computed, not measured: Na2SnF6 at its PBEsol-relaxed geometry at the meta-GGA SCAN level of DFT.

Calculated values
total moment	0.000	μB/atom
final energy	-182.474	eV for the cell shown
uncorrected formation energy	-2.85	eV/atom
density of states at the Fermi level	0.000	states/eV/atom

Cell lengths 5.075, 5.075, 10.132 Å; angles 90.00, 90.00, 90.00 degrees
Space group P4_2/mnm (No. 136)
One atom of each set of equivalent atoms:
Na 0.000 0.000 0.164 x4
Sn 0.000 0.000 0.500 x2
F 0.186 0.186 0.355 x8
F 0.223 0.223 0.000 x4


Record 12
Computed, not measured: CuSb2Os at its PBEsol-relaxed geometry at the meta-GGA SCAN level of DFT.

Calculated values
total moment	0.000	μB/atom
final energy	-319.956	eV for the cell shown
uncorrected formation energy	0.41	eV/atom
density of states at the Fermi level	0.391	states/eV/atom

Cell lengths 3.078, 4.021, 12.417 Å; angles 90.00, 90.00, 90.00 degrees
Space group Imm2 (No. 44)
One atom of each set of equivalent atoms:
Cu 0.000 0.000 0.000 x2
Sb 0.000 0.000 0.391 x2
Sb 0.000 0.500 0.145 x2
Os 0.000 0.500 0.713 x2


Record 13
Computed, not measured: CrInOs2Se at its PBEsol-relaxed geometry at the meta-GGA SCAN level of DFT.

Calculated values
total moment	0.029	μB/atom
final energy	-203.557	eV for the cell shown
uncorrected formation energy	2.41	eV/atom
density of states at the Fermi level	1.047	states/eV/atom

Cell lengths 4.888, 4.888, 5.013 Å; angles 90.00, 90.00, 90.00 degrees
Space group P4/mmm (No. 123)
One atom of each set of equivalent atoms:
Cr 0.000 0.000 0.000 x1
In 0.500 0.500 0.500 x1
Os 0.000 0.500 0.500 x2
Se 0.500 0.500 0.000 x1


Record 14
Computed, not measured: SbTe3P at its PBEsol-relaxed geometry at the meta-GGA SCAN level of DFT.

Calculated values
total moment	0.000	μB/atom
final energy	-156.921	eV for the cell shown
uncorrected formation energy	0.50	eV/atom
density of states at the Fermi level	0.468	states/eV/atom

Cell lengths 5.164, 5.164, 5.164 Å; angles 90.00, 90.00, 90.00 degrees
Space group Pm-3m (No. 221)
One atom of each set of equivalent atoms:
Sb 0.000 0.000 0.000 x1
Te 0.000 0.500 0.500 x3
P 0.500 0.500 0.500 x1


Record 15
Computed, not measured: HgP2 at its PBEsol-relaxed geometry at the meta-GGA SCAN level of DFT.

Calculated values
total moment	0.000	μB/atom
final energy	-177.495	eV for the cell shown
density of states at the Fermi level	0.102	states/eV/atom

Cell lengths 3.2580, 3.2580, 13.2321 Å; angles 90.00, 90.00, 120.00 degrees
Space group P6_3/mmc (No. 194)
One atom of each set of equivalent atoms:
Hg 0.0000 0.0000 0.2500 x2
P 0.3333 0.6667 0.0465 x4


Record 16
Computed, not measured: Ir2OsRu at its PBEsol-relaxed geometry at the meta-GGA SCAN level of DFT.

Calculated values
total moment	0.000	μB/atom
final energy	-497.849	eV for the cell shown
density of states at the Fermi level	0.740	states/eV/atom

Cell lengths 3.811, 3.811, 7.615 Å; angles 90.00, 90.00, 90.00 degrees
Space group I-4m2 (No. 119)
One atom of each set of equivalent atoms:
Ir 0.000 0.000 0.000 x2
Ir 0.000 0.500 0.250 x2
Os 0.000 0.000 0.500 x2
Ru 0.000 0.500 0.750 x2


Record 17
Computed, not measured: MnFeNi2 at its PBEsol-relaxed geometry at the meta-GGA SCAN level of DFT.

Calculated values
total moment	1.860	μB/atom
final energy	-138.400	eV for the cell shown
density of states at the Fermi level	0.647	states/eV/atom

Cell lengths 4.910, 7.096, 2.443 Å; angles 90.00, 90.00, 90.00 degrees
Space group Cmmm (No. 65)
One atom of each set of equivalent atoms:
Mn 0.000 0.000 0.000 x2
Fe 0.000 0.500 0.000 x2
Ni 0.250 0.250 0.500 x4


Record 18
Computed, not measured: Li3Co2CuO6 at its PBEsol-relaxed geometry at the meta-GGA SCAN level of DFT.

Calculated values
total moment	0.170	μB/atom
final energy	-229.017	eV for the cell shown
uncorrected formation energy	-1.68	eV/atom
density of states at the Fermi level	0.000	states/eV/atom

Cell lengths 12.523, 2.820, 5.667 Å; angles 90.00, 102.33, 90.00 degrees
Space group C2/m (No. 12)
One atom of each set of equivalent atoms:
Li 0.000 0.000 0.000 x2
Li 0.165 0.500 0.337 x4
Co 0.169 0.500 0.834 x4
Cu 0.000 0.000 0.500 x2
O 0.014 0.500 0.749 x4
O 0.171 0.000 0.613 x4
O 0.175 0.000 0.063 x4


Record 19
Computed, not measured: InAgP2 at its PBEsol-relaxed geometry at the meta-GGA SCAN level of DFT.

Calculated values
total moment	0.000	μB/atom
final energy	-83.259	eV for the cell shown
density of states at the Fermi level	0.521	states/eV/atom

Cell lengths 4.351, 4.351, 3.766 Å; angles 90.00, 90.00, 90.00 degrees
Space group P4/mmm (No. 123)
One atom of each set of equivalent atoms:
In 0.000 0.000 0.000 x1
Ag 0.500 0.500 0.000 x1
P 0.000 0.500 0.500 x2


Record 20
Computed, not measured: Cs3TaAs at its PBEsol-relaxed geometry at the meta-GGA SCAN level of DFT.

Calculated values
total moment	0.599	μB/atom
final energy	-194.047	eV for the cell shown
density of states at the Fermi level	3.230	states/eV/atom

Cell lengths 6.763, 6.763, 6.763 Å; angles 90.00, 90.00, 90.00 degrees
Space group Pm-3m (No. 221)
One atom of each set of equivalent atoms:
Cs 0.000 0.000 0.500 x3
Ta 0.500 0.500 0.500 x1
As 0.000 0.000 0.000 x1